Entry 1:
Density functional theory data (PBE) for ZnCuIr2 after structural relaxation.

Calculated values
Its calculated volume is 13.96 Å³ per atom. The mass density is 15.27 g cm⁻³. Its energy of formation is 0.3 kcal/mol of atoms. As for the total magnetization: 0.0 μB/f.u.

a b c (Å): 3.8082 2.7283 6.0375
angles (deg): 62.88 90.00 90.00
Closest atoms and distances in Å follow each position.
Sites, in units of the cell vectors:
1 Cu 0.5000 0.7565 0.7435  4 Zn 2.65, 6 Ir 2.66-2.73, 2 Cu 2.73
2 Ir 0.0000 0.9957 0.0047  2 Zn 2.65-2.73, 6 Ir 2.66-2.73, 4 Cu 2.73
3 Ir 0.5000 0.2606 0.2393  6 Ir 2.66-2.73, 2 Cu 2.66-2.71, 4 Zn 2.76-2.77
4 Zn 0.0000 0.4871 0.5124  6 Ir 2.65-2.77, 4 Cu 2.65, 2 Zn 2.73

---

Entry 2:
Density functional theory data (PBE) for Hf6NiSb2 after structural relaxation.

Calculated values
Its calculated volume is 26.18 Å³ per atom. The mass density is 9.68 g cm⁻³. As for the total magnetization: 0.0 μB/f.u. The calculation puts the uncorrected formation energy at 0.2864 eV per atom.

a b c (Å): 6.0900 6.0900 12.7055
angles (deg): 90.00 90.00 90.00
Closest atoms and distances in Å follow each position.
Sites, in units of the cell vectors:
1 Hf 0.3153 0.3153 0.3601  1 Ni 2.39
2 Hf 0.6847 0.6847 0.3601  1 Ni 2.39
3 Hf 0.1847 0.8153 0.8601  1 Ni 2.39
4 Hf 0.8153 0.1847 0.8601  1 Ni 2.39
5 Hf 0.1847 0.8153 0.1399  1 Ni 2.39
6 Hf 0.8153 0.1847 0.1399  1 Ni 2.39
7 Hf 0.3153 0.3153 0.6399  1 Ni 2.39
8 Hf 0.6847 0.6847 0.6399  1 Ni 2.39
9 Hf 0.2847 0.2847 0.0000  1 Ni 2.45
10 Hf 0.7153 0.7153 0.0000  1 Ni 2.45
11 Hf 0.2153 0.7847 0.5000  1 Ni 2.45
12 Hf 0.7847 0.2153 0.5000  1 Ni 2.45
13 Ni 0.0000 0.0000 0.0000  6 Hf 2.39-2.45
14 Ni 0.5000 0.5000 0.5000  6 Hf 2.39-2.45
15 Sb 0.0000 0.0000 0.3263  6 Hf 2.75-2.88
16 Sb 0.5000 0.5000 0.8263  6 Hf 2.75-2.88
17 Sb 0.5000 0.5000 0.1737  6 Hf 2.75-2.88
18 Sb 0.0000 0.0000 0.6737  6 Hf 2.75-2.88

---

Entry 3:
Density functional theory data (PBE) for K3Mg2S4 after structural relaxation.

Calculated values
Its calculated volume is 27.00 Å³ per atom. The mass density is 2.01 g cm⁻³. As for the total magnetization: 1.0 μB/f.u. The calculation puts the uncorrected formation energy at -1.1484 eV per atom.

a b c (Å): 4.2437 7.5007 8.6417
angles (deg): 113.52 104.21 90.00
Closest atoms and distances in Å follow each position.
Sites, in units of the cell vectors:
1 K 0.1264 0.5292 0.2530  7 S 3.21-3.57
2 K 0.8736 0.4708 0.7470  7 S 3.21-3.57
3 K 0.0000 0.0000 0.0000  6 S 3.16-3.25
4 Mg 0.6727 0.9647 0.3453  4 S 2.44-2.53
5 Mg 0.3273 0.0353 0.6547  4 S 2.44-2.53
6 S 0.5232 0.7122 0.0464  1 Mg 2.44
7 S 0.2122 0.1652 0.4243  3 Mg 2.50-2.53
8 S 0.4768 0.2878 0.9536  1 Mg 2.44
9 S 0.7879 0.8348 0.5757  3 Mg 2.50-2.53

---

Number 1: density of states at the Fermi level 4.6 states/eV per cell. Number 2: density of states at the Fermi level 13.8 states/eV per cell. Number 3: density of states at the Fermi level 0.8 states/eV per cell.